1.
An optimized crystal structure of TaOsN2, computed with PBE-GGA.

* electronic total energy: -9.413 eV per atom
* crystal system: trigonal
* E_form (uncorrected): 520 meV/atom

Cell lengths 2.8923, 2.8923, 20.1874 Å; angles 90.00, 90.00, 120.00 degrees
With the nearest neighbours (Å) after each atom.
Space group R-3m (No. 166, hexagonal axes)
Unique sites:
Ta1 0.0000 0.0000 0.0000 [3 per cell]  2 N 2.07
Os1 0.0000 0.0000 0.5000 [3 per cell]  6 N 2.11
N1 0.0000 0.0000 0.1024 [6 per cell]  1 Ta 2.07, 3 Os 2.11



2.
An optimized crystal structure of TaOsN3, computed with PBE-GGA.

* electronic total energy: -8.320 eV per atom
* crystal system: cubic
* E_form (uncorrected): 1292 meV/atom

Cell lengths 3.9818, 3.9818, 3.9818 Å; angles 90.00, 90.00, 90.00 degrees
With the nearest neighbours (Å) after each atom.
Space group Pm-3m (No. 221)
Unique sites:
Ta1 0.0000 0.0000 0.0000 [1 per cell]  6 N 1.99
Os1 0.5000 0.5000 0.5000 [1 per cell]  12 N 2.82
N1 0.0000 0.0000 0.5000 [3 per cell]  2 Ta 1.99



3.
An optimized crystal structure of TaOsN, computed with PBE-GGA.

* electronic total energy: -10.870 eV per atom
* crystal system: monoclinic
* E_form (uncorrected): -401 meV/atom

Cell lengths 3.0084, 4.3130, 6.0377 Å; angles 90.00, 90.13, 90.00 degrees
With the nearest neighbours (Å) after each atom.
Space group P2_1/m (No. 11)
Unique sites:
Ta1 0.2487 0.2500 0.3490 [2 per cell]  4 N 2.17-2.18
Os1 0.2509 0.7500 0.0390 [2 per cell]  1 N 2.12
N1 0.2493 0.7500 0.3908 [2 per cell]  1 Os 2.12, 4 Ta 2.17-2.18



4.
An optimized crystal structure of TaOsN2, computed with PBE-GGA.

* electronic total energy: -10.034 eV per atom
* crystal system: tetragonal
* E_form (uncorrected): -101 meV/atom

Cell lengths 4.1491, 4.1491, 11.4237 Å; angles 90.00, 90.00, 90.00 degrees
With the nearest neighbours (Å) after each atom.
Space group I-42d (No. 122)
Unique sites:
Ta1 0.0000 0.0000 0.0000 [4 per cell]  4 N 2.06
Os1 0.0000 0.0000 0.5000 [4 per cell]  4 N 2.04
N1 0.2452 0.2500 0.6250 [8 per cell]  2 Os 2.04, 2 Ta 2.06



5.
An optimized crystal structure of TaOsN2, computed with PBE-GGA.

* electronic total energy: -10.039 eV per atom
* crystal system: trigonal
* E_form (uncorrected): -106 meV/atom

Cell lengths 3.0037, 3.0037, 19.0759 Å; angles 90.00, 90.00, 120.00 degrees
With the nearest neighbours (Å) after each atom.
Space group R-3m (No. 166, hexagonal axes)
Unique sites:
Ta1 0.0000 0.0000 0.0000 [3 per cell]  6 N 2.10
Os1 0.0000 0.0000 0.5000 [3 per cell]  2 N 1.99
N1 0.0000 0.0000 0.3955 [6 per cell]  1 Os 1.99, 3 Ta 2.10



6.
An optimized crystal structure of TaOs3N, computed with PBE-GGA.

* electronic total energy: -10.462 eV per atom
* crystal system: cubic
* E_form (uncorrected): 312 meV/atom

Cell lengths 4.0793, 4.0793, 4.0793 Å; angles 90.00, 90.00, 90.00 degrees
With the nearest neighbours (Å) after each atom.
Space group Pm-3m (No. 221)
Unique sites:
Ta1 0.0000 0.0000 0.0000 [1 per cell]  12 Os 2.88
Os1 0.0000 0.5000 0.5000 [3 per cell]  2 N 2.04
N1 0.5000 0.5000 0.5000 [1 per cell]  6 Os 2.04



7.
An optimized crystal structure of TaOsN2, computed with PBE-GGA.

* electronic total energy: -9.260 eV per atom
* crystal system: cubic
* E_form (uncorrected): 673 meV/atom

Cell lengths 5.5090, 5.5090, 5.5090 Å; angles 90.00, 90.00, 90.00 degrees
With the nearest neighbours (Å) after each atom.
Space group Fm-3m (No. 225)
Unique sites:
Ta1 0.0000 0.0000 0.0000 [4 per cell]  8 N 2.39
Os1 0.0000 0.0000 0.5000 [4 per cell]  8 N 2.39
N1 0.2500 0.2500 0.2500 [8 per cell]  4 Ta 2.39, 4 Os 2.39



8.
An optimized crystal structure of Ta2Os2N, computed with PBE-GGA.

* electronic total energy: -9.929 eV per atom
* crystal system: tetragonal
* E_form (uncorrected): 969 meV/atom

Cell lengths 3.3891, 3.3891, 14.3085 Å; angles 90.00, 90.00, 90.00 degrees
With the nearest neighbours (Å) after each atom.
Space group I4/mmm (No. 139)
Unique sites:
Ta1 0.0000 0.0000 0.0947 [4 per cell]  1 Ta 2.71, 4 N 2.75, 4 Os 2.79
Os1 0.0000 0.5000 0.2500 [4 per cell]  4 Os 2.40
N1 0.0000 0.0000 0.5000 [2 per cell]  8 Ta 2.75



9.
An optimized crystal structure of TaOsN3, computed with PBE-GGA.

* electronic total energy: -8.570 eV per atom
* crystal system: cubic
* E_form (uncorrected): 1042 meV/atom

Cell lengths 3.8248, 3.8248, 3.8248 Å; angles 90.00, 90.00, 90.00 degrees
With the nearest neighbours (Å) after each atom.
Space group Pm-3m (No. 221)
Unique sites:
Ta1 0.0000 0.0000 0.0000 [1 per cell]  12 N 2.70
Os1 0.5000 0.5000 0.5000 [1 per cell]  6 N 1.91
N1 0.0000 0.5000 0.5000 [3 per cell]  2 Os 1.91



10.
An optimized crystal structure of Ta2OsN, computed with PBE-GGA.

* electronic total energy: -10.872 eV per atom
* crystal system: tetragonal
* E_form (uncorrected): -56 meV/atom

Cell lengths 5.4185, 5.4185, 9.6037 Å; angles 90.00, 90.00, 90.00 degrees
With the nearest neighbours (Å) after each atom.
Space group I-42d (No. 122)
Unique sites:
Ta1 0.1714 0.2500 0.1250 [8 per cell]  2 N 2.03
Os1 0.0000 0.0000 0.5000 [4 per cell]  4 Ta 2.54
N1 0.0000 0.0000 0.0000 [4 per cell]  4 Ta 2.03



11.
An optimized crystal structure of TaOs2N2, computed with PBE-GGA.

* electronic total energy: -8.715 eV per atom
* crystal system: tetragonal
* E_form (uncorrected): 1478 meV/atom

Cell lengths 6.8513, 6.8513, 2.7411 Å; angles 90.00, 90.00, 90.00 degrees
With the nearest neighbours (Å) after each atom.
Space group P4/mbm (No. 127)
Unique sites:
Ta1 0.0000 0.0000 0.0000 [2 per cell]  4 Os 2.67, 2 Ta 2.74
Os1 0.1337 0.3663 0.0000 [4 per cell]  4 N 2.22
N1 0.1210 0.6210 0.5000 [4 per cell]  4 Os 2.22, 1 N 2.34



12.
An optimized crystal structure of Ta2VOsN, computed with PBE-GGA.

* electronic total energy: -11.011 eV per atom
* crystal system: tetragonal
* E_form (uncorrected): -535 meV/atom

Cell lengths 4.2876, 4.2876, 3.8073 Å; angles 90.00, 90.00, 90.00 degrees
With the nearest neighbours (Å) after each atom.
Space group P4/mmm (No. 123)
Unique sites:
Ta1 0.0000 0.5000 0.0000 [2 per cell]  2 N 2.14
V1 0.0000 0.0000 0.5000 [1 per cell]  2 N 1.90
Os1 0.5000 0.5000 0.5000 [1 per cell]  8 Ta 2.87, 4 V 3.03
N1 0.0000 0.0000 0.0000 [1 per cell]  2 V 1.90